No. 1
VASP calculation (GGA-PBE) on crystalline Pr9Er2Tm at its relaxed geometry.

```
data_Pr9Er2Tm
_chemical_formula_sum 'Pr9 Er2 Tm1'
_cell_length_a 5.1732
_cell_length_b 5.1732
_cell_length_c 15.5197
_cell_angle_alpha 90.00
_cell_angle_beta 90.00
_cell_angle_gamma 90.00
_space_group_name_H-M_alt 'P 4/m m m'
_space_group_IT_number 123
_space_group_name_Hall '-P 4 2'
loop_
_atom_site_label
_atom_site_type_symbol
_atom_site_fract_x
_atom_site_fract_y
_atom_site_fract_z
Pr1 Pr 0.0000 0.0000 0.0000
Pr2 Pr 0.0000 0.0000 0.3332
Pr3 Pr 0.0000 0.5000 0.1664
Pr4 Pr 0.0000 0.5000 0.5000
Er1 Er 0.5000 0.5000 0.3331
Tm1 Tm 0.5000 0.5000 0.0000
```

The value obtained for the total magnetization is 0.0 μB/f.u. As for the formation energy: 0.01 eV per atom. As for the density of states at the Fermi level: 1.55 states/eV per atom.

***

No. 2
VASP calculation (GGA-PBE) on crystalline PrEr3Tm7 at its relaxed geometry.

```
data_PrEr3Tm7
_chemical_formula_sum 'Pr1 Er3 Tm7'
_cell_length_a 6.9748
_cell_length_b 6.9748
_cell_length_c 8.5204
_cell_angle_alpha 90.00
_cell_angle_beta 90.00
_cell_angle_gamma 120.00
_space_group_name_H-M_alt 'P 3 m 1'
_space_group_IT_number 156
_space_group_name_Hall 'P 3 -2"'
loop_
_atom_site_label
_atom_site_type_symbol
_atom_site_fract_x
_atom_site_fract_y
_atom_site_fract_z
Pr1 Pr 0.0000 0.0000 0.0000
Er1 Er 0.1675 0.3350 0.6624
Tm1 Tm 0.0025 0.5013 0.0003
Tm2 Tm 0.3316 0.1658 0.3308
Tm3 Tm 0.3333 0.6667 0.3296
```

The energy above the most stable polymorph in this dataset is 45 meV/atom. The value obtained for the total magnetization is 0.0 μB/f.u. As for the formation energy: 0.20 eV per atom. As for the density of states at the Fermi level: 1.58 states/eV per atom.

***

No. 3
VASP calculation (GGA-PBE) on crystalline Pr7ErTm3 at its relaxed geometry.

```
data_Pr7ErTm3
_chemical_formula_sum 'Pr28 Er4 Tm12'
_cell_length_a 18.6213
_cell_length_b 7.1672
_cell_length_c 11.4648
_cell_angle_alpha 90.00
_cell_angle_beta 90.00
_cell_angle_gamma 90.00
_space_group_name_H-M_alt 'C m c m'
_space_group_IT_number 63
_space_group_name_Hall '-C 2c 2'
loop_
_atom_site_label
_atom_site_type_symbol
_atom_site_fract_x
_atom_site_fract_y
_atom_site_fract_z
Pr1 Pr 0.0000 0.2503 0.2500
Pr2 Pr 0.0879 0.2483 0.7500
Pr3 Pr 0.1622 0.2497 0.0309
Er1 Er 0.0000 0.5000 0.0000
Tm1 Tm 0.0000 0.0000 0.0000
Tm2 Tm 0.2505 0.0003 0.2500
```

The energy above the most stable polymorph in this dataset is 0 meV/atom. The value obtained for the total magnetization is 0.0 μB/f.u. As for the formation energy: 0.13 eV per atom. As for the density of states at the Fermi level: 1.73 states/eV per atom.

***

No. 4
VASP calculation (GGA-PBE) on crystalline PrEr4Tm at its relaxed geometry.

```
data_PrEr4Tm
_chemical_formula_sum 'Pr4 Er16 Tm4'
_cell_length_a 9.2625
_cell_length_b 9.2625
_cell_length_c 9.2625
_cell_angle_alpha 90.00
_cell_angle_beta 90.00
_cell_angle_gamma 90.00
_space_group_name_H-M_alt 'F -4 3 m'
_space_group_IT_number 216
_space_group_name_Hall 'F -4 2 3'
loop_
_atom_site_label
_atom_site_type_symbol
_atom_site_fract_x
_atom_site_fract_y
_atom_site_fract_z
Pr1 Pr 0.0000 0.0000 0.0000
Er1 Er 0.1246 0.1246 0.3754
Tm1 Tm 0.2500 0.2500 0.7500
```

The energy above the most stable polymorph in this dataset is 227 meV/atom. The value obtained for the total magnetization is 1.1 μB/f.u. As for the formation energy: 0.27 eV per atom. As for the density of states at the Fermi level: 1.82 states/eV per atom.

***

No. 5
VASP calculation (GGA-PBE) on crystalline Pr2ErTm3 at its relaxed geometry.

```
data_Pr2ErTm3
_chemical_formula_sum 'Pr8 Er4 Tm12'
_cell_length_a 23.3677
_cell_length_b 3.4838
_cell_length_c 10.1733
_cell_angle_alpha 90.00
_cell_angle_beta 108.43
_cell_angle_gamma 90.00
_space_group_name_H-M_alt 'C 1 2/m 1'
_space_group_IT_number 12
_space_group_name_Hall '-C 2y'
loop_
_atom_site_label
_atom_site_type_symbol
_atom_site_fract_x
_atom_site_fract_y
_atom_site_fract_z
Pr1 Pr 0.0696 0.0000 0.1288
Pr2 Pr 0.1894 0.5000 0.3715
Er1 Er 0.1903 0.5000 0.0355
Tm1 Tm 0.0578 0.5000 0.4448
Tm2 Tm 0.0710 0.0000 0.7614
Tm3 Tm 0.1945 0.5000 0.7150
```

The value obtained for the total magnetization is 0.0 μB/f.u. As for the formation energy: 0.13 eV per atom. As for the density of states at the Fermi level: 1.51 states/eV per atom.

***

No. 6
VASP calculation (GGA-PBE) on crystalline Pr7Er3Tm2 at its relaxed geometry.

```
data_Pr7Er3Tm2
_chemical_formula_sum 'Pr7 Er3 Tm2'
_cell_length_a 6.3584
_cell_length_b 5.5409
_cell_length_c 12.2517
_cell_angle_alpha 90.00
_cell_angle_beta 90.14
_cell_angle_gamma 90.00
_space_group_name_H-M_alt 'P 1 2/m 1'
_space_group_IT_number 10
_space_group_name_Hall '-P 2y'
loop_
_atom_site_label
_atom_site_type_symbol
_atom_site_fract_x
_atom_site_fract_y
_atom_site_fract_z
Pr1 Pr 0.0000 0.0000 0.0000
Pr2 Pr 0.0935 0.5000 0.8269
Pr3 Pr 0.2478 0.5000 0.5446
Pr4 Pr 0.4434 0.0000 0.8125
Er1 Er 0.0709 0.0000 0.3444
Er2 Er 0.5000 0.5000 0.0000
Tm1 Tm 0.3775 0.5000 0.2742
```

The energy above the most stable polymorph in this dataset is 174 meV/atom. The value obtained for the total magnetization is 0.0 μB/f.u. As for the formation energy: 0.27 eV per atom. As for the density of states at the Fermi level: 1.50 states/eV per atom.

***

Question: What is the total magnetization in the fifth record?
Answer: 0.0 μB/f.u.